Record 1
# PBE FeAsW, optimized geometry
data_FeAsW
_cell_length_a 5.651
_cell_length_b 5.651
_cell_length_c 5.651
_cell_angle_alpha 90.00
_cell_angle_beta 90.00
_cell_angle_gamma 90.00
_symmetry_space_group_name_H-M 'F -4 3 m'
_symmetry_Int_Tables_number 216
_symmetry_space_group_name_Hall 'F -4 2 3'
loop_
_atom_site_label
_atom_site_type_symbol
_atom_site_fract_x
_atom_site_fract_y
_atom_site_fract_z
Fe1 Fe 0.000 0.000 0.000
As1 As 0.250 0.250 0.250
W1 W 0.250 0.250 0.750
# - energy of formation from the pure elements (eV/f.u.) = 0.31
# - N(E_F) (states/eV per cell) = 15.20
# - total magnetic moment (μB/f.u.) = 0.0

=====

Record 2
# PBE FeAsW, optimized geometry
data_FeAsW
_cell_length_a 3.0965
_cell_length_b 3.0965
_cell_length_c 10.5406
_cell_angle_alpha 90.00
_cell_angle_beta 90.00
_cell_angle_gamma 120.00
_symmetry_space_group_name_H-M 'P -6 m 2'
_symmetry_Int_Tables_number 187
_symmetry_space_group_name_Hall 'P -6 2'
loop_
_atom_site_label
_atom_site_type_symbol
_atom_site_fract_x
_atom_site_fract_y
_atom_site_fract_z
Fe1 Fe 0.0000 0.0000 0.1817
As1 As 0.6667 0.3333 0.3254
W1 W 0.0000 0.0000 0.5000
W2 W 0.6667 0.3333 0.0000
# - energy of formation from the pure elements (eV/f.u.) = 0.86
# - N(E_F) (states/eV per cell) = 4.20
# - total magnetic moment (μB/f.u.) = 0.8

=====

Record 3
# PBE FeAsW, optimized geometry
data_FeAsW
_cell_length_a 4.0911
_cell_length_b 4.0911
_cell_length_c 2.8145
_cell_angle_alpha 90.00
_cell_angle_beta 90.00
_cell_angle_gamma 120.00
_symmetry_space_group_name_H-M 'P -6 m 2'
_symmetry_Int_Tables_number 187
_symmetry_space_group_name_Hall 'P -6 2'
loop_
_atom_site_label
_atom_site_type_symbol
_atom_site_fract_x
_atom_site_fract_y
_atom_site_fract_z
Fe1 Fe 0.0000 0.0000 0.0000
As1 As 0.3333 0.6667 0.0000
W1 W 0.6667 0.3333 0.5000
# - energy of formation from the pure elements (eV/f.u.) = 0.58
# - N(E_F) (states/eV per cell) = 3.20
# - total magnetic moment (μB/f.u.) = 0.0

=====

Record 4
# PBE FeAsW2, optimized geometry
data_FeAsW2
_cell_length_a 6.223
_cell_length_b 6.257
_cell_length_c 2.992
_cell_angle_alpha 90.00
_cell_angle_beta 90.00
_cell_angle_gamma 90.00
_symmetry_space_group_name_H-M 'C m m m'
_symmetry_Int_Tables_number 65
_symmetry_space_group_name_Hall '-C 2 2'
loop_
_atom_site_label
_atom_site_type_symbol
_atom_site_fract_x
_atom_site_fract_y
_atom_site_fract_z
Fe1 Fe 0.000 0.000 0.000
As1 As 0.000 0.500 0.000
W1 W 0.250 0.250 0.500
# - energy of formation from the pure elements (eV/f.u.) = 1.31
# - N(E_F) (states/eV per cell) = 7.22
# - total magnetic moment (μB/f.u.) = 2.0

=====

Record 5
# PBE FeAsW4, optimized geometry
data_FeAsW4
_cell_length_a 7.466
_cell_length_b 7.466
_cell_length_c 7.466
_cell_angle_alpha 90.00
_cell_angle_beta 90.00
_cell_angle_gamma 90.00
_symmetry_space_group_name_H-M 'F -4 3 m'
_symmetry_Int_Tables_number 216
_symmetry_space_group_name_Hall 'F -4 2 3'
loop_
_atom_site_label
_atom_site_type_symbol
_atom_site_fract_x
_atom_site_fract_y
_atom_site_fract_z
Fe1 Fe 0.000 0.000 0.000
As1 As 0.250 0.250 0.250
W1 W 0.126 0.126 0.626
# - energy of formation from the pure elements (eV/f.u.) = 5.12
# - N(E_F) (states/eV per cell) = 17.90
# - total magnetic moment (μB/f.u.) = 3.0

=====

Record 6
# PBE FeAsW2, optimized geometry
data_FeAsW2
_cell_length_a 2.8312
_cell_length_b 2.8312
_cell_length_c 25.7768
_cell_angle_alpha 90.00
_cell_angle_beta 90.00
_cell_angle_gamma 120.00
_symmetry_space_group_name_H-M 'R 3 m'
_symmetry_Int_Tables_number 160
_symmetry_space_group_name_Hall 'R 3 -2"'
loop_
_atom_site_label
_atom_site_type_symbol
_atom_site_fract_x
_atom_site_fract_y
_atom_site_fract_z
Fe1 Fe 0.0000 0.0000 0.0000
As1 As 0.0000 0.0000 0.7398
W1 W 0.0000 0.0000 0.2544
W2 W 0.0000 0.0000 0.4945
# - energy of formation from the pure elements (eV/f.u.) = 1.42
# - N(E_F) (states/eV per cell) = 11.39
# - total magnetic moment (μB/f.u.) = 1.1

=====

Record 7
# PBE FeAs3W, optimized geometry
data_FeAs3W
_cell_length_a 4.883
_cell_length_b 4.883
_cell_length_c 4.883
_cell_angle_alpha 90.00
_cell_angle_beta 90.00
_cell_angle_gamma 90.00
_symmetry_space_group_name_H-M 'P m -3 m'
_symmetry_Int_Tables_number 221
_symmetry_space_group_name_Hall '-P 4 2 3'
loop_
_atom_site_label
_atom_site_type_symbol
_atom_site_fract_x
_atom_site_fract_y
_atom_site_fract_z
Fe1 Fe 0.000 0.000 0.000
As1 As 0.000 0.500 0.500
W1 W 0.500 0.500 0.500
# - energy of formation from the pure elements (eV/f.u.) = 4.86
# - N(E_F) (states/eV per cell) = 4.57
# - total magnetic moment (μB/f.u.) = 3.3

=====

Record 8
# PBE FeAsW2, optimized geometry
data_FeAsW2
_cell_length_a 3.244
_cell_length_b 4.249
_cell_length_c 8.415
_cell_angle_alpha 90.00
_cell_angle_beta 90.00
_cell_angle_gamma 90.00
_symmetry_space_group_name_H-M 'I m m m'
_symmetry_Int_Tables_number 71
_symmetry_space_group_name_Hall '-I 2 2'
loop_
_atom_site_label
_atom_site_type_symbol
_atom_site_fract_x
_atom_site_fract_y
_atom_site_fract_z
Fe1 Fe 0.000 0.000 0.000
As1 As 0.000 0.000 0.500
W1 W 0.000 0.500 0.246
# - energy of formation from the pure elements (eV/f.u.) = 1.23
# - N(E_F) (states/eV per cell) = 5.06
# - total magnetic moment (μB/f.u.) = 0.8

=====

Record 9
# PBE Fe2As2W, optimized geometry
data_Fe2As2W
_cell_length_a 3.630
_cell_length_b 3.630
_cell_length_c 10.830
_cell_angle_alpha 90.00
_cell_angle_beta 90.00
_cell_angle_gamma 90.00
_symmetry_space_group_name_H-M 'I 4/m m m'
_symmetry_Int_Tables_number 139
_symmetry_space_group_name_Hall '-I 4 2'
loop_
_atom_site_label
_atom_site_type_symbol
_atom_site_fract_x
_atom_site_fract_y
_atom_site_fract_z
Fe1 Fe 0.000 0.000 0.105
As1 As 0.000 0.500 0.250
W1 W 0.000 0.000 0.500
# - energy of formation from the pure elements (eV/f.u.) = 3.04
# - N(E_F) (states/eV per cell) = 11.57
# - energy relative to the lowest polymorph listed for this composition (meV/atom) = 420
# - total magnetic moment (μB/f.u.) = 0.5

=====

Record 10
# PBE YFe2As, optimized geometry
data_YFe2As
_cell_length_a 3.193
_cell_length_b 3.193
_cell_length_c 6.605
_cell_angle_alpha 90.00
_cell_angle_beta 90.00
_cell_angle_gamma 90.00
_symmetry_space_group_name_H-M 'P 4 m m'
_symmetry_Int_Tables_number 99
loop_
_symmetry_equiv_pos_as_xyz
'x,y,z'
'-y,x,z'
'-x,-y,z'
'y,-x,z'
'-x,y,z'
'y,x,z'
'x,-y,z'
'-y,-x,z'
loop_
_atom_site_label
_atom_site_type_symbol
_atom_site_fract_x
_atom_site_fract_y
_atom_site_fract_z
Y1 Y 0.000 0.000 0.000
Fe1 Fe 0.000 0.000 0.521
Fe2 Fe 0.500 0.500 0.705
As1 As 0.500 0.500 0.331
# - energy of formation from the pure elements (eV/f.u.) = -0.53
# - N(E_F) (states/eV per cell) = 3.39
# - total magnetic moment (μB/f.u.) = 4.4

=====

Record 11
# PBE YFe2As, optimized geometry
data_YFe2As
_cell_length_a 3.704
_cell_length_b 4.127
_cell_length_c 4.877
_cell_angle_alpha 90.00
_cell_angle_beta 90.00
_cell_angle_gamma 90.00
_symmetry_space_group_name_H-M 'P m m m'
_symmetry_Int_Tables_number 47
loop_
_symmetry_equiv_pos_as_xyz
'x,y,z'
'-x,-y,-z'
'-x,-y,z'
'x,y,-z'
'x,-y,-z'
'-x,y,z'
'-x,y,-z'
'x,-y,z'
loop_
_atom_site_label
_atom_site_type_symbol
_atom_site_fract_x
_atom_site_fract_y
_atom_site_fract_z
Y1 Y 0.000 0.000 0.000
Fe1 Fe 0.500 0.500 0.241
As1 As 0.500 0.000 0.500
# - energy of formation from the pure elements (eV/f.u.) = -0.48
# - N(E_F) (states/eV per cell) = 3.75
# - total magnetic moment (μB/f.u.) = 4.2

=====

Record 12
# PBE YFeAs2, optimized geometry
data_YFeAs2
_cell_length_a 3.263
_cell_length_b 3.263
_cell_length_c 6.851
_cell_angle_alpha 90.00
_cell_angle_beta 90.00
_cell_angle_gamma 90.00
_symmetry_space_group_name_H-M 'P 4/m m m'
_symmetry_Int_Tables_number 123
_symmetry_space_group_name_Hall '-P 4 2'
loop_
_atom_site_label
_atom_site_type_symbol
_atom_site_fract_x
_atom_site_fract_y
_atom_site_fract_z
Y1 Y 0.000 0.000 0.000
Fe1 Fe 0.000 0.000 0.500
As1 As 0.500 0.500 0.294
# - energy of formation from the pure elements (eV/f.u.) = -1.07
# - N(E_F) (states/eV per cell) = 2.90
# - energy relative to the lowest polymorph listed for this composition (meV/atom) = 362
# - total magnetic moment (μB/f.u.) = 2.5

=====

Record 13
# PBE YFeAs2, optimized geometry
data_YFeAs2
_cell_length_a 4.530
_cell_length_b 4.530
_cell_length_c 3.694
_cell_angle_alpha 90.00
_cell_angle_beta 90.00
_cell_angle_gamma 90.00
_symmetry_space_group_name_H-M 'P 4/m m m'
_symmetry_Int_Tables_number 123
_symmetry_space_group_name_Hall '-P 4 2'
loop_
_atom_site_label
_atom_site_type_symbol
_atom_site_fract_x
_atom_site_fract_y
_atom_site_fract_z
Y1 Y 0.000 0.000 0.000
Fe1 Fe 0.500 0.500 0.000
As1 As 0.000 0.500 0.500
# - energy of formation from the pure elements (eV/f.u.) = -1.36
# - N(E_F) (states/eV per cell) = 3.33
# - energy relative to the lowest polymorph listed for this composition (meV/atom) = 288
# - total magnetic moment (μB/f.u.) = 2.7

=====

Record 14
# PBE YFeAs2, optimized geometry
data_YFeAs2
_cell_length_a 6.685
_cell_length_b 6.685
_cell_length_c 6.685
_cell_angle_alpha 90.00
_cell_angle_beta 90.00
_cell_angle_gamma 90.00
_symmetry_space_group_name_H-M 'F m -3 m'
_symmetry_Int_Tables_number 225
_symmetry_space_group_name_Hall '-F 4 2 3'
loop_
_atom_site_label
_atom_site_type_symbol
_atom_site_fract_x
_atom_site_fract_y
_atom_site_fract_z
Y1 Y 0.000 0.000 0.000
Fe1 Fe 0.000 0.000 0.500
As1 As 0.250 0.250 0.250
# - energy of formation from the pure elements (eV/f.u.) = -1.18
# - N(E_F) (states/eV per cell) = 21.95
# - energy relative to the lowest polymorph listed for this composition (meV/atom) = 334
# - total magnetic moment (μB/f.u.) = 2.0